Record 1
The following is a PBE calculation of a relaxed structure of HfSc2Zn, from the Alexandria database.

abc: 3.1010 3.1010 31.8433
angles: 90.00 90.00 120.00
Space group R-3m (No. 166, hexagonal axes)
Asymmetric unit:
Hf 0.0000 0.0000 0.0000 [3 per cell]
Sc 0.0000 0.0000 0.0957 [6 per cell]
Zn 0.0000 0.0000 0.5000 [3 per cell]

crystal system = trigonal
formation energy from the elements = 0.1990 eV/atom

---

Record 2
The following is a PBE calculation of a relaxed structure of Tc2TeIr, from the Alexandria database.

abc: 2.9651 2.9651 25.6734
angles: 90.00 90.00 120.00
Space group R-3m (No. 166, hexagonal axes)
Asymmetric unit:
Tc 0.0000 0.0000 0.2500 [6 per cell]
Te 0.0000 0.0000 0.0000 [3 per cell]
Ir 0.0000 0.0000 0.5000 [3 per cell]

crystal system = trigonal
formation energy without anion corrections = 448 meV per atom

---

Record 3
The following is a PBE calculation of a relaxed structure of NiSe2Br2, from the Alexandria database.

abc: 5.792 5.792 8.884
angles: 90.00 90.00 90.00
Space group I4/mmm (No. 139)
Asymmetric unit:
Ni 0.000 0.000 0.000 [2 per cell]
Se 0.000 0.000 0.248 [4 per cell]
Br 0.000 0.500 0.250 [4 per cell]

crystal system = tetragonal
formation energy without anion corrections = 311 meV per atom
E above lowest polymorph = 197 meV per atom

---

Record 4
The following is a PBE calculation of a relaxed structure of PmNd2Dy2Ho2, from the Alexandria database.

abc: 17.791 3.508 8.466
angles: 90.00 116.75 90.00
Space group C2/m (No. 12)
Asymmetric unit:
Pm 0.000 0.000 0.000 [2 per cell]
Nd 0.148 0.500 0.884 [4 per cell]
Dy 0.211 0.000 0.299 [4 per cell]
Ho 0.071 0.500 0.406 [4 per cell]

crystal system = monoclinic
formation energy from the elements = 0.1485 eV/atom

---

Number 1: spin magnetization 0.0 μB/f.u., energy -5.7736 eV per atom. Number 2: spin magnetization 0.0 μB/f.u., energy -7.7359 eV per atom. Number 3: spin magnetization 0.9 μB/f.u., energy -2.9085 eV per atom. Number 4: spin magnetization 0.0 μB/f.u., energy -4.5152 eV per atom.